# 1
Below is a relaxed Cs2KRb2 crystal, with properties calculated at the GGA-PBE level.

## Properties
M_tot ... 0.00 μB per atom
Energy of formation ... 0.0603 eV per atom
Calculated total energy ... -8.88 eV per cell
Energy above the most stable polymorph in this dataset ... 0.055 eV per atom

The structure in CIF format:
```
data_Cs2KRb2
_cell_length_a 13.459
_cell_length_b 13.459
_cell_length_c 5.551
_cell_angle_alpha 90.00
_cell_angle_beta 90.00
_cell_angle_gamma 90.00
_symmetry_space_group_name_H-M 'P 4/m b m'
_symmetry_Int_Tables_number 127
_symmetry_space_group_name_Hall '-P 4 2ab'
loop_
_atom_site_label
_atom_site_type_symbol
_atom_site_fract_x
_atom_site_fract_y
_atom_site_fract_z
Cs1 Cs 0.142 0.358 0.000
K1 K 0.000 0.000 0.000
Rb1 Rb 0.158 0.658 0.500
```

---

# 2
Below is a relaxed Tb4ScZn5 crystal, with properties calculated at the GGA-PBE level.

## Properties
M_tot ... 0.00 μB per atom
Energy of formation ... -0.3343 eV per atom
Calculated total energy ... -34.57 eV per cell

The structure in CIF format:
```
data_Tb4ScZn5
_cell_length_a 3.534
_cell_length_b 3.534
_cell_length_c 17.731
_cell_angle_alpha 90.00
_cell_angle_beta 90.00
_cell_angle_gamma 90.00
_symmetry_space_group_name_H-M 'P 4/m m m'
_symmetry_Int_Tables_number 123
_symmetry_space_group_name_Hall '-P 4 2'
loop_
_atom_site_label
_atom_site_type_symbol
_atom_site_fract_x
_atom_site_fract_y
_atom_site_fract_z
Tb1 Tb 0.000 0.000 0.103
Tb2 Tb 0.000 0.000 0.307
Sc1 Sc 0.000 0.000 0.500
Zn1 Zn 0.500 0.500 0.000
Zn2 Zn 0.500 0.500 0.204
Zn3 Zn 0.500 0.500 0.414
```

---

# 3
Below is a relaxed KTe3C crystal, with properties calculated at the GGA-PBE level.

## Properties
M_tot ... 0.00 μB per atom
Calculated total energy ... -16.65 eV per cell
Energy above the most stable polymorph in this dataset ... 0.000 eV per atom

The structure in CIF format:
```
data_KTe3C
_cell_length_a 5.029
_cell_length_b 5.029
_cell_length_c 5.029
_cell_angle_alpha 90.00
_cell_angle_beta 90.00
_cell_angle_gamma 90.00
_symmetry_space_group_name_H-M 'P m -3 m'
_symmetry_Int_Tables_number 221
_symmetry_space_group_name_Hall '-P 4 2 3'
loop_
_atom_site_label
_atom_site_type_symbol
_atom_site_fract_x
_atom_site_fract_y
_atom_site_fract_z
K1 K 0.000 0.000 0.000
Te1 Te 0.000 0.500 0.500
C1 C 0.500 0.500 0.500
```

---

# 4
Below is a relaxed Ba2NbP crystal, with properties calculated at the GGA-PBE level.

## Properties
M_tot ... 0.75 μB per atom
Energy of formation ... 0.0385 eV per atom
Calculated total energy ... -76.68 eV per cell

The structure in CIF format:
```
data_Ba2NbP
_cell_length_a 12.059
_cell_length_b 12.059
_cell_length_c 4.861
_cell_angle_alpha 90.00
_cell_angle_beta 90.00
_cell_angle_gamma 90.00
_symmetry_space_group_name_H-M 'I -4 2 d'
_symmetry_Int_Tables_number 122
_symmetry_space_group_name_Hall 'I -4 2bw'
loop_
_atom_site_label
_atom_site_type_symbol
_atom_site_fract_x
_atom_site_fract_y
_atom_site_fract_z
Ba1 Ba 0.078 0.750 0.125
Nb1 Nb 0.000 0.000 0.500
P1 P 0.000 0.000 0.000
```

---

# 5
Below is a relaxed Na4Sr5Tl crystal, with properties calculated at the GGA-PBE level.

## Properties
M_tot ... 0.00 μB per atom
Energy of formation ... -0.0696 eV per atom
Calculated total energy ... -16.75 eV per cell

The structure in CIF format:
```
data_Na4Sr5Tl
_cell_length_a 4.325
_cell_length_b 4.325
_cell_length_c 22.886
_cell_angle_alpha 90.00
_cell_angle_beta 90.00
_cell_angle_gamma 90.00
_symmetry_space_group_name_H-M 'P 4/m m m'
_symmetry_Int_Tables_number 123
_symmetry_space_group_name_Hall '-P 4 2'
loop_
_atom_site_label
_atom_site_type_symbol
_atom_site_fract_x
_atom_site_fract_y
_atom_site_fract_z
Na1 Na 0.000 0.000 0.104
Na2 Na 0.000 0.000 0.313
Sr1 Sr 0.500 0.500 0.000
Sr2 Sr 0.500 0.500 0.208
Sr3 Sr 0.500 0.500 0.418
Tl1 Tl 0.000 0.000 0.500
```

---

# 6
Below is a relaxed ReAg crystal, with properties calculated at the GGA-PBE level.

## Properties
M_tot ... 0.00 μB per atom
Energy of formation ... 0.7287 eV per atom
Calculated total energy ... -83.05 eV per cell
Energy above the most stable polymorph in this dataset ... 0.482 eV per atom

The structure in CIF format:
```
data_ReAg
_cell_length_a 9.5497
_cell_length_b 9.5497
_cell_length_c 2.6345
_cell_angle_alpha 90.00
_cell_angle_beta 90.00
_cell_angle_gamma 120.00
_symmetry_space_group_name_H-M 'P 63/m'
_symmetry_Int_Tables_number 176
_symmetry_space_group_name_Hall '-P 6c'
loop_
_atom_site_label
_atom_site_type_symbol
_atom_site_fract_x
_atom_site_fract_y
_atom_site_fract_z
Re1 Re 0.1559 0.6126 0.2500
Ag1 Ag 0.0535 0.2833 0.2500
```

---

Q: Look up the M_tot of the fifth one.
A: 0.00 μB per atom

---

Q: calculated total energy of number 2 (Tb4ScZn5)?
A: -34.57 eV per cell